[1]
# TcBAsBr2 | the Alexandria database | PBEsol | optimized geometry
data_TcBAsBr2
_cell_length_a 4.494
_cell_length_b 4.494
_cell_length_c 4.523
_cell_angle_alpha 90.00
_cell_angle_beta 90.00
_cell_angle_gamma 90.00
_space_group_name_H-M_alt 'P 4/m m m'
_space_group_IT_number 123
_space_group_name_Hall '-P 4 2'
loop_
_atom_site_label
_atom_site_fract_x
_atom_site_fract_y
_atom_site_fract_z
Tc1 0.000 0.000 0.000
B1 0.500 0.500 0.500
As1 0.500 0.500 0.000
Br1 0.000 0.500 0.500
# Uncorrected formation energy ... 1.28 eV/atom
# E_tot ... -4.150 eV per atom

=====

[2]
# MoOsAu2 | the Alexandria database | PBEsol | optimized geometry
data_MoOsAu2
_cell_length_a 2.7865
_cell_length_b 2.7865
_cell_length_c 28.0861
_cell_angle_alpha 90.00
_cell_angle_beta 90.00
_cell_angle_gamma 120.00
_space_group_name_H-M_alt 'R 3 m'
_space_group_IT_number 160
_space_group_name_Hall 'R 3 -2"'
loop_
_atom_site_label
_atom_site_fract_x
_atom_site_fract_y
_atom_site_fract_z
Mo1 0.0000 0.0000 0.0000
Os1 0.0000 0.0000 0.7402
Au1 0.0000 0.0000 0.2478
Au2 0.0000 0.0000 0.4932
# DFT formation energy ... 0.153 eV per atom
# Energy relative to the lowest polymorph listed for this composition ... 0.000 eV/atom
# E_tot ... -7.805 eV per atom

=====

[3]
# ZnFeCo | the Alexandria database | PBEsol | optimized geometry
data_ZnFeCo
_cell_length_a 2.834
_cell_length_b 2.834
_cell_length_c 8.548
_cell_angle_alpha 90.00
_cell_angle_beta 90.00
_cell_angle_gamma 90.00
_space_group_name_H-M_alt 'I 4 m m'
_space_group_IT_number 107
_space_group_name_Hall 'I 4 -2'
loop_
_atom_site_label
_atom_site_fract_x
_atom_site_fract_y
_atom_site_fract_z
Zn1 0.000 0.000 0.000
Fe1 0.000 0.000 0.320
Co1 0.000 0.000 0.674
# DFT formation energy ... 0.003 eV per atom
# Energy relative to the lowest polymorph listed for this composition ... 0.000 eV/atom
# E_tot ... -6.091 eV per atom

=====

Question: The highest E_tot belongs to which entry?
Answer: TcBAsBr2

=====

Please write out number 3 again, unchanged.
# ZnFeCo | the Alexandria database | PBEsol | optimized geometry
data_ZnFeCo
_cell_length_a 2.834
_cell_length_b 2.834
_cell_length_c 8.548
_cell_angle_alpha 90.00
_cell_angle_beta 90.00
_cell_angle_gamma 90.00
_space_group_name_H-M_alt 'I 4 m m'
_space_group_IT_number 107
_space_group_name_Hall 'I 4 -2'
loop_
_atom_site_label
_atom_site_fract_x
_atom_site_fract_y
_atom_site_fract_z
Zn1 0.000 0.000 0.000
Fe1 0.000 0.000 0.320
Co1 0.000 0.000 0.674
# DFT formation energy ... 0.003 eV per atom
# Energy relative to the lowest polymorph listed for this composition ... 0.000 eV/atom
# E_tot ... -6.091 eV per atom